## TbInIrO6 (PBE)

Data for TbInIrO6 after structural relaxation.

Calculated values
Uncorrected formation energy in meV per atom: -1576.3
Calculated total energy in eV per formula unit: -60.2
Density in Mg/m³: 7.93
Space group: P-31c (163)
Size of the total moment in Bohr magnetons per cell: 4.969

a b c (Å): 5.496 5.496 9.001
angles (deg): 90.00 90.00 120.00
Sites, in units of the cell vectors:
Tb 0.333 0.667 0.250
Tb 0.667 0.333 0.750
In 0.000 0.000 0.000
In 0.000 0.000 0.500
Ir 0.333 0.667 0.750
Ir 0.667 0.333 0.250
O 0.042 0.367 0.628
O 0.042 0.675 0.872
O 0.325 0.367 0.872
O 0.325 0.958 0.628
O 0.367 0.042 0.128
O 0.367 0.325 0.372
O 0.633 0.675 0.628
O 0.633 0.958 0.872
O 0.675 0.042 0.372
O 0.675 0.633 0.128
O 0.958 0.325 0.128
O 0.958 0.633 0.372